Density functional theory data (PBE-GGA) for a relaxed KTbGa4 crystal.

Properties
**Formation energy from the elements**: -1.3 eV/f.u.
**Symmetry**: F-43m, No. 216
**Final energy**: -19.180 eV per cell

Unit cell a=5.670 b=5.670 c=5.670 alpha=60.00 beta=60.00 gamma=60.00
Atoms (fractional coordinates):
K (0.250, 0.250, 0.250)
Tb (0.000, 0.000, 0.000)
Ga (0.626, 0.626, 0.123)
Ga (0.626, 0.123, 0.626)
Ga (0.626, 0.626, 0.626)
Ga (0.123, 0.626, 0.626)



Density functional theory data (PBE-GGA) for a relaxed CeZr3N4 crystal.

Properties
**Relative energy among the computed polymorphs**: 0.0000 eV/atom
**ΔE_f (raw)**: -1.6547 eV/atom
**Symmetry**: P6_3/mmc, No. 194
**Final energy**: -156.235 eV per cell

Unit cell a=3.308 b=3.308 c=22.079 alpha=90.00 beta=90.00 gamma=120.00
Atoms (fractional coordinates):
Zr (0.000, 0.000, 0.000)
Zr (0.000, 0.000, 0.500)
Zr (0.333, 0.667, 0.880)
Zr (0.667, 0.333, 0.120)
Zr (0.667, 0.333, 0.380)
Zr (0.333, 0.667, 0.620)
Ce (0.667, 0.333, 0.750)
Ce (0.333, 0.667, 0.250)
N (0.667, 0.333, 0.941)
N (0.333, 0.667, 0.059)
N (0.333, 0.667, 0.441)
N (0.667, 0.333, 0.559)
N (0.000, 0.000, 0.823)
N (0.000, 0.000, 0.177)
N (0.000, 0.000, 0.323)
N (0.000, 0.000, 0.677)



Density functional theory data (PBE-GGA) for a relaxed ErUMn2 crystal.

Properties
**Formation energy from the elements**: -0.1 eV/f.u.
**Symmetry**: Pnma, No. 62
**Final energy**: -137.133 eV per cell

Unit cell a=4.973 b=5.982 c=9.509 alpha=90.00 beta=90.00 gamma=90.00
Atoms (fractional coordinates):
Er (0.750, 0.680, 0.343)
Er (0.750, 0.180, 0.157)
Er (0.250, 0.320, 0.657)
Er (0.250, 0.820, 0.843)
U (0.250, 0.998, 0.367)
U (0.750, 0.002, 0.633)
U (0.250, 0.498, 0.133)
U (0.750, 0.502, 0.867)
Mn (0.750, 0.735, 0.035)
Mn (0.250, 0.265, 0.965)
Mn (0.750, 0.235, 0.465)
Mn (0.250, 0.765, 0.535)
Mn (0.750, 0.096, 0.862)
Mn (0.250, 0.404, 0.362)
Mn (0.750, 0.596, 0.638)
Mn (0.250, 0.904, 0.138)



Density functional theory data (PBE-GGA) for a relaxed Ca2ScBr crystal.

Properties
**Relative energy among the computed polymorphs**: 0.6229 eV/atom
**ΔE_f (raw)**: 0.0610 eV/atom
**Symmetry**: Fm-3m, No. 225
**Final energy**: -11.764 eV per cell

Unit cell a=5.770 b=5.770 c=5.770 alpha=60.00 beta=60.00 gamma=60.00
Atoms (fractional coordinates):
Sc (0.500, 0.500, 0.500)
Ca (0.250, 0.250, 0.250)
Ca (0.750, 0.750, 0.750)
Br (0.000, 0.000, 0.000)



Density functional theory data (PBE-GGA) for a relaxed Pu3HPb2 crystal.

Properties
**Relative energy among the computed polymorphs**: 0.0535 eV/atom
**Symmetry**: Pmm2, No. 25
**Final energy**: -53.752 eV per cell

Unit cell a=4.729 b=3.570 c=8.239 alpha=90.00 beta=90.00 gamma=90.00
Atoms (fractional coordinates):
Pu (0.500, 0.000, 0.822)
Pu (0.500, 0.000, 0.214)
Pu (0.500, 0.500, 0.618)
H (0.500, 0.500, 0.357)
Pb (0.000, 0.500, 0.002)
Pb (0.000, 0.000, 0.488)



Density functional theory data (PBE-GGA) for a relaxed SbIrOs2 crystal.

Properties
**ΔE_f (raw)**: 0.8587 eV/atom
**Symmetry**: Cmm2, No. 35
**Final energy**: -32.008 eV per cell

Unit cell a=2.860 b=2.860 c=9.602 alpha=90.00 beta=90.00 gamma=120.67
Atoms (fractional coordinates):
Ir (0.500, 0.500, 0.766)
Os (0.000, 0.000, 0.004)
Os (0.500, 0.500, 0.229)
Sb (0.000, 0.000, 0.502)



V / Å³/cell: 128.93 209.24 282.88 135.84 139.10 67.55